Record 1
The following is a DFT calculation (GGA-PBE) of CrTc2W after structural relaxation.

Unit cell a=5.0797 b=5.0797 c=5.0797 alpha=144.90 beta=129.49 gamma=62.99
Last column: nearest neighbours and their distance in Å.
Positions (direct):
Cr (0.0000, 0.0000, 0.0000)  2 W 2.53, 6 Tc 2.65-2.66
Tc (0.2503, 0.7503, 0.5000)  2 Cr 2.65, 4 W 2.66, 2 Tc 2.76
Tc (0.5148, 0.5148, 0.0000)  4 Cr 2.66, 2 W 2.68, 2 Tc 2.76
W (0.7681, 0.2681, 0.5000)  2 Cr 2.53, 6 Tc 2.66-2.68

Output
V ... 57.5 Å³/cell
SG ... Imm2 (44)
Total energy ... -43.007 eV/f.u.
ΔH_f (0 K) ... 0.075 eV per atom

Record 2
The following is a DFT calculation (GGA-PBE) of NiRu3 after structural relaxation.

Unit cell a=4.6130 b=4.6130 c=4.5854 alpha=99.52 beta=99.52 gamma=33.66
Last column: nearest neighbours and their distance in Å.
Positions (direct):
Ni (0.0000, 0.0000, 0.0000)  10 Ru 2.64-2.67, 2 Ni 2.67
Ru (0.2493, 0.2493, 0.7526)  9 Ru 2.63-2.68, 3 Ni 2.64-2.67
Ru (0.5000, 0.5000, 0.5000)  4 Ni 2.65, 8 Ru 2.66-2.67
Ru (0.7507, 0.7507, 0.2474)  9 Ru 2.63-2.68, 3 Ni 2.64-2.67

Output
V ... 53.3 Å³/cell
SG ... C2/m (12)
Total energy ... -33.036 eV/f.u.
ΔH_f (0 K) ... 0.143 eV per atom

Record 3
The following is a DFT calculation (GGA-PBE) of Zr3Tl3FeS8 after structural relaxation.

Unit cell a=7.2114 b=7.2114 c=8.9799 alpha=113.76 beta=113.76 gamma=59.90
Last column: nearest neighbours and their distance in Å.
Positions (direct):
Zr (0.0000, 0.0000, 0.0000)  6 S 2.58-2.59
Zr (0.0000, 0.5000, 0.0000)  6 S 2.58-2.59
Zr (0.5000, 0.0000, 0.0000)  6 S 2.58-2.59
Tl (0.0000, 0.5000, 0.5000)  6 S 3.21-3.25
Tl (0.5000, 0.0000, 0.5000)  6 S 3.21-3.25
Tl (0.5000, 0.5000, 0.5000)  6 S 3.21-3.25
Fe (0.5000, 0.5000, 0.0000)  6 S 2.40
S (0.2308, 0.2308, 0.1927)  3 Zr 2.58
S (0.2504, 0.7145, 0.1792)  1 Fe 2.40, 2 Zr 2.59
S (0.2854, 0.2854, 0.8206)  1 Fe 2.40, 2 Zr 2.59
S (0.2855, 0.7496, 0.8208)  1 Fe 2.40, 2 Zr 2.59
S (0.7145, 0.2504, 0.1792)  1 Fe 2.40, 2 Zr 2.59
S (0.7146, 0.7146, 0.1794)  1 Fe 2.40, 2 Zr 2.59
S (0.7496, 0.2855, 0.8208)  1 Fe 2.40, 2 Zr 2.59
S (0.7692, 0.7692, 0.8073)  3 Zr 2.58

Output
V ... 357.7 Å³/cell
SG ... C2/m (12)
Total energy ... -88.885 eV/f.u.
Energy relative to the elements, uncorrected ... -0.977 eV per atom

Record 4
The following is a DFT calculation (GGA-PBE) of LiMnN after structural relaxation.

Unit cell a=2.9066 b=2.9066 c=4.6689 alpha=90.00 beta=90.00 gamma=120.00
Last column: nearest neighbours and their distance in Å.
Positions (direct):
Li (0.0000, 0.0000, 0.0000)  3 N 2.12
Mn (0.6667, 0.3333, 0.5445)  3 N 1.87
N (0.3333, 0.6667, 0.7211)  3 Mn 1.87

Output
V ... 34.2 Å³/cell
SG ... P3m1 (156)
Total energy ... -20.364 eV/f.u.
Energy relative to the elements, uncorrected ... -0.318 eV per atom

Record 5
The following is a DFT calculation (GGA-PBE) of La2CdS2 after structural relaxation.

Unit cell a=8.1419 b=8.1419 c=3.7103 alpha=90.00 beta=90.00 gamma=90.00
Last column: nearest neighbours and their distance in Å.
Positions (direct):
La (0.1604, 0.3396, 0.0000)  6 S 2.96-3.07
La (0.3396, 0.8396, 0.0000)  6 S 2.96-3.07
La (0.6604, 0.1604, 0.0000)  6 S 2.96-3.07
La (0.8396, 0.6604, 0.0000)  6 S 2.96-3.07
Cd (0.0000, 0.0000, 0.5000)  4 S 3.15
Cd (0.5000, 0.5000, 0.5000)  4 S 3.15
S (0.1388, 0.6388, 0.5000)  6 La 2.96-3.07, 2 Cd 3.15, 1 S 3.20
S (0.3612, 0.1388, 0.5000)  6 La 2.96-3.07, 2 Cd 3.15, 1 S 3.20
S (0.6388, 0.8612, 0.5000)  6 La 2.96-3.07, 2 Cd 3.15, 1 S 3.20
S (0.8612, 0.3612, 0.5000)  6 La 2.96-3.07, 2 Cd 3.15, 1 S 3.20

Output
V ... 246.0 Å³/cell
SG ... P4/mbm (127)
Total energy ... -26.220 eV/f.u.
Energy relative to the elements, uncorrected ... -1.439 eV per atom

Record 6
The following is a DFT calculation (GGA-PBE) of Ti2Ge2F after structural relaxation.

Unit cell a=5.3434 b=5.3434 c=5.3434 alpha=126.49 beta=126.49 gamma=79.09
Last column: nearest neighbours and their distance in Å.
Positions (direct):
Ti (0.2500, 0.7500, 0.5000)  4 Ge 2.54
Ti (0.7500, 0.2500, 0.5000)  4 Ge 2.54
Ge (0.1497, 0.1497, 0.0000)  1 Ge 2.47, 4 Ti 2.54
Ge (0.8503, 0.8503, 0.0000)  1 Ge 2.47, 4 Ti 2.54
F (0.5000, 0.5000, 0.0000)  2 Ge 2.89, 8 Ti 3.17

Output
V ... 95.4 Å³/cell
SG ... I4/mmm (139)
Total energy ... -28.609 eV/f.u.
Energy relative to the elements, uncorrected ... -0.343 eV per atom

Record 7
The following is a DFT calculation (GGA-PBE) of K2HoPuS4 after structural relaxation.

Unit cell a=7.0757 b=4.0805 c=7.7134 alpha=90.00 beta=107.84 gamma=90.00
Last column: nearest neighbours and their distance in Å.
Positions (direct):
K (0.0000, 0.0000, 0.0000)  6 S 3.20-3.22
K (0.5000, 0.5000, 0.0000)  6 S 3.23-3.24
Ho (0.0000, 0.5000, 0.5000)  6 S 2.76-2.77
Pu (0.5000, 0.0000, 0.5000)  6 S 2.79-2.81
S (0.2293, 0.0000, 0.7017)  2 Ho 2.77, 1 Pu 2.81
S (0.2637, 0.5000, 0.3000)  1 Ho 2.76, 2 Pu 2.79
S (0.7363, 0.5000, 0.7000)  1 Ho 2.76, 2 Pu 2.79
S (0.7707, 0.0000, 0.2983)  2 Ho 2.77, 1 Pu 2.81

Output
V ... 212.0 Å³/cell
SG ... P2/m (10)
Total energy ... -51.416 eV/f.u.
Energy relative to the elements, uncorrected ... -1.725 eV per atom

Record 8
The following is a DFT calculation (GGA-PBE) of LaAsC2 after structural relaxation.

Unit cell a=5.4728 b=5.4728 c=5.4728 alpha=114.29 beta=114.29 gamma=100.22
Last column: nearest neighbours and their distance in Å.
Positions (direct):
La (0.0000, 0.0000, 0.0000)  4 C 2.64
La (0.7500, 0.2500, 0.5000)  4 C 2.64
As (0.2500, 0.7500, 0.5000)  4 C 1.98
As (0.5000, 0.5000, 0.0000)  4 C 1.98
C (0.2109, 0.1250, 0.5859)  2 As 1.98
C (0.3750, 0.7891, 0.9141)  2 As 1.98
C (0.5391, 0.6250, 0.4141)  2 As 1.98
C (0.8750, 0.4609, 0.0859)  2 As 1.98

Output
V ... 123.8 Å³/cell
SG ... I-42d (122)
Total energy ... -26.191 eV/f.u.
ΔH_f (0 K) ... 0.458 eV per atom

Record 9
The following is a DFT calculation (GGA-PBE) of NaScTl3 after structural relaxation.

Unit cell a=5.6722 b=5.6722 c=5.6722 alpha=90.00 beta=90.00 gamma=90.00
Last column: nearest neighbours and their distance in Å.
Positions (direct):
Na (0.0000, 0.0000, 0.0000)  12 Tl 4.01
Sc (0.5000, 0.5000, 0.5000)  6 Tl 2.84
Tl (0.0000, 0.5000, 0.5000)  2 Sc 2.84
Tl (0.5000, 0.0000, 0.5000)  2 Sc 2.84
Tl (0.5000, 0.5000, 0.0000)  2 Sc 2.84

Output
V ... 182.5 Å³/cell
SG ... Pm-3m (221)
Total energy ... -13.693 eV/f.u.
ΔH_f (0 K) ... 0.211 eV per atom

Record 10
The following is a DFT calculation (GGA-PBE) of TeP2Pb after structural relaxation.

Unit cell a=8.5424 b=8.5424 c=8.5424 alpha=141.18 beta=141.18 gamma=56.06
Last column: nearest neighbours and their distance in Å.
Positions (direct):
Te (0.0000, 0.0000, 0.0000)  4 P 2.68
Te (0.7500, 0.2500, 0.5000)  4 P 2.68
P (0.0987, 0.6250, 0.9737)  2 Te 2.68, 2 Pb 2.83
P (0.3750, 0.3487, 0.4737)  2 Te 2.68, 2 Pb 2.83
P (0.6513, 0.1250, 0.0263)  2 Te 2.68, 2 Pb 2.83
P (0.8750, 0.9013, 0.5263)  2 Te 2.68, 2 Pb 2.83
Pb (0.2500, 0.7500, 0.5000)  4 P 2.83
Pb (0.5000, 0.5000, 0.0000)  4 P 2.83

Output
V ... 243.0 Å³/cell
SG ... I-42d (122)
Total energy ... -15.922 eV/f.u.
Energy relative to the elements, uncorrected ... 0.437 eV per atom

Record 11
The following is a DFT calculation (GGA-PBE) of Sm2PF after structural relaxation.

Unit cell a=6.6136 b=6.6136 c=6.6136 alpha=34.78 beta=34.78 gamma=34.78
Last column: nearest neighbours and their distance in Å.
Positions (direct):
Sm (0.2489, 0.2489, 0.2489)  3 F 2.75, 3 P 2.77
Sm (0.7511, 0.7511, 0.7511)  3 F 2.75, 3 P 2.77
P (0.0000, 0.0000, 0.0000)  6 Sm 2.77
F (0.5000, 0.5000, 0.5000)  6 Sm 2.75

Output
V ... 84.0 Å³/cell
SG ... R-3m (166)
Total energy ... -24.600 eV/f.u.
Energy relative to the elements, uncorrected ... -1.970 eV per atom

Record 12
The following is a DFT calculation (GGA-PBE) of Ca3MgSi2Pd9 after structural relaxation.

Unit cell a=6.8747 b=6.8747 c=7.4556 alpha=90.00 beta=90.00 gamma=120.00
Last column: nearest neighbours and their distance in Å.
Positions (direct):
Ca (0.0000, 0.0000, 0.0000)  12 Pd 3.44-3.52, 2 Mg 3.73
Ca (0.3333, 0.6667, 0.6894)  6 Pd 2.98-3.05
Ca (0.6667, 0.3333, 0.3106)  6 Pd 2.98-3.05
Mg (0.0000, 0.0000, 0.5000)  6 Pd 2.48
Si (0.3333, 0.6667, 0.1551)  6 Pd 2.30-2.31
Si (0.6667, 0.3333, 0.8449)  6 Pd 2.30-2.31
Pd (0.0000, 0.5000, 0.0000)  2 Si 2.30
Pd (0.1891, 0.3783, 0.3622)  1 Si 2.31, 1 Mg 2.48
Pd (0.1891, 0.8109, 0.3622)  1 Si 2.31, 1 Mg 2.48
Pd (0.3783, 0.1891, 0.6378)  1 Si 2.31, 1 Mg 2.48
Pd (0.5000, 0.0000, 0.0000)  2 Si 2.30
Pd (0.5000, 0.5000, 0.0000)  2 Si 2.30
Pd (0.6217, 0.8109, 0.3622)  1 Si 2.31, 1 Mg 2.48
Pd (0.8109, 0.1891, 0.6378)  1 Si 2.31, 1 Mg 2.48
Pd (0.8109, 0.6217, 0.6378)  1 Si 2.31, 1 Mg 2.48

Output
V ... 305.2 Å³/cell
SG ... P-3m1 (164)
Total energy ... -72.430 eV/f.u.
Energy relative to the elements, uncorrected ... -0.483 eV per atom